Li2CaAsH: optimized geometry, PBE-GGA.

Summary:
SG = P4/mmm
Calculated total energy = -3.4687 eV per atom

a = 4.185 Å, b = 4.185 Å, c = 4.589 Å
α = 90.00°, β = 90.00°, γ = 90.00°
Atoms (fractional coordinates):
Li 0.000 0.500 0.000
Li 0.500 0.000 0.000
Ca 0.000 0.000 0.500
As 0.500 0.500 0.500
H 0.000 0.000 0.000